The following is a GGA-PBEsol calculation of a geometry-optimized SrMg2InB structure, from Alexandria via LeMat-Bulk.

Cell lengths 4.293, 5.649, 5.649 Å; angles 90.00, 90.00, 90.00 degrees
Positions (direct):
1 Sr 0.500 0.500 0.500
2 Mg 0.000 0.000 0.500
3 Mg 0.000 0.500 0.000
4 B 0.500 0.000 0.000
5 In 0.000 0.000 0.000

- Final energy: -11.8 eV for the cell shown
- ΔE_f: 686 meV per atom
- Magnetization: 0.00 μB/f.u.